(1)
Below is a geometry-optimized Th5SbP4 structure, with properties calculated at the PBE level.

Cell and atoms, written as POSCAR:
```
Th5SbP4
1.0
6.998 -2.099 0.000
6.998 2.099 0.000
-5.127 0.000 9.004
Th Sb P
5 1 4
Direct
0.000 0.000 0.000
0.207 0.207 0.815
0.389 0.389 0.611
0.611 0.611 0.389
0.793 0.793 0.185
0.000 0.000 0.500
0.205 0.205 0.295
0.405 0.405 0.104
0.595 0.595 0.896
0.795 0.795 0.705
```

Computed properties:
Total moment in μB per formula unit: 0.00
Uncorrected formation energy in eV per atom: -1.39
Space-group type: C2/m



(2)
Below is a geometry-optimized AcThTl2S4 structure, with properties calculated at the PBE level.

Cell and atoms, written as POSCAR:
```
AcThTl2S4
1.0
7.548 0.000 0.000
0.000 4.254 0.000
-1.962 0.000 7.732
Ac Th Tl S
1 1 2 4
Direct
0.000 0.000 0.000
0.500 0.500 0.000
0.000 0.500 0.500
0.500 0.000 0.500
0.243 0.500 0.201
0.303 0.000 0.812
0.697 0.000 0.188
0.757 0.500 0.799
```

Computed properties:
Total moment in μB per formula unit: 0.00
Uncorrected formation energy in eV per atom: -1.37
Space-group type: P2/m



(3)
Below is a geometry-optimized IrAu structure, with properties calculated at the PBE level.

Cell and atoms, written as POSCAR:
```
IrAu
1.0
7.149 0.000 0.000
0.000 7.149 0.000
0.000 0.000 7.149
Ir Au
6 6
Direct
0.000 0.250 0.500
0.000 0.750 0.500
0.250 0.500 0.000
0.500 0.000 0.250
0.500 0.000 0.750
0.750 0.500 0.000
0.000 0.500 0.250
0.000 0.500 0.750
0.250 0.000 0.500
0.500 0.250 0.000
0.500 0.750 0.000
0.750 0.000 0.500
```

Computed properties:
Total moment in μB per formula unit: 0.68
Excess energy over the best structure of this formula in the dataset in eV/atom: 1.480
ΔH_f (0 K) in eV per atom: 1.666
Space-group type: Pm-3n



Across the entries above, raw total energy takes the values -7.68 -5.47 -4.40 eV/atom, respectively.